DFT (PBE-GGA) results for a relaxed CaSbHI2 crystal.

Summary:
DOS(E_F): 5.4 states/eV/cell
distance to the lowest polymorph of the same formula: 386.8 meV per atom

Cell: 6.118 6.118 6.316 Å, 90.00 90.00 90.00°
Space group P4/mmm (No. 123)
Unique sites:
Ca 0.000 0.000 0.000 x1
Sb 0.000 0.000 0.500 x1
H 0.500 0.500 0.500 x1
I 0.000 0.500 0.000 x2